This record from Alexandria describes a relaxed CoTeSe2 crystal. The functional is GGA-PBEsol.

Values from the calculation:
Space group: Cm, No. 8
Formation energy (no corrections) (eV per atom): -0.07
Magnetization (Bohr magnetons per cell): 0.00
Crystal system: monoclinic

```
4
Lattice="3.1581 -1.8215 0.0000 3.1581 1.8215 0.0000 -0.0009 0.0000 7.1359" Properties=species:S:1:pos:R:3 pbc="T T T"
Co 0.0000 0.0000 0.0000
Te 4.2109 0.0000 1.4686
Se 2.1036 0.0000 6.1072
Se 2.1158 0.0000 3.7084
```

=====

This record from Alexandria describes a relaxed CoTeSe2 crystal. The functional is GGA-PBEsol.

Values from the calculation:
Space group: F-43m, No. 216
Formation energy (no corrections) (eV per atom): 0.59
Magnetization (Bohr magnetons per cell): 1.30
Crystal system: cubic

```
4
Lattice="0.0000 3.3189 3.3189 3.3189 0.0000 3.3189 3.3189 3.3189 0.0000" Properties=species:S:1:pos:R:3 pbc="T T T"
Co 0.0000 0.0000 0.0000
Te 4.9783 4.9783 4.9783
Se 1.6594 1.6594 1.6594
Se 3.3189 3.3189 3.3189
```

=====

This record from Alexandria describes a relaxed Co3TeSe crystal. The functional is GGA-PBEsol.

Values from the calculation:
Space group: Pm-3m, No. 221
Formation energy (no corrections) (eV per atom): 1.24
Magnetization (Bohr magnetons per cell): 4.67
Crystal system: cubic

```
5
Lattice="4.6281 0.0000 0.0000 0.0000 4.6281 0.0000 0.0000 0.0000 4.6281" Properties=species:S:1:pos:R:3 pbc="T T T"
Co 0.0000 0.0000 2.3141
Co 0.0000 2.3141 0.0000
Co 2.3141 0.0000 0.0000
Te 0.0000 0.0000 0.0000
Se 2.3141 2.3141 2.3141
```

=====

This record from Alexandria describes a relaxed ZnCo2TeSe crystal. The functional is GGA-PBEsol.

Values from the calculation:
Space group: P4/mmm, No. 123
Formation energy (no corrections) (eV per atom): 0.79
Magnetization (Bohr magnetons per cell): 2.95
Crystal system: tetragonal

```
5
Lattice="4.2679 0.0000 0.0000 0.0000 4.2679 0.0000 0.0000 0.0000 5.8717" Properties=species:S:1:pos:R:3 pbc="T T T"
Zn 0.0000 0.0000 0.0000
Co 0.0000 2.1339 2.9359
Co 2.1339 0.0000 2.9359
Te 2.1339 2.1339 0.0000
Se 2.1339 2.1339 2.9359
```

=====

This record from Alexandria describes a relaxed Ti2CoSe4 crystal. The functional is GGA-PBEsol.

Values from the calculation:
Space group: C2/m, No. 12
Formation energy (no corrections) (eV per atom): -0.97
Magnetization (Bohr magnetons per cell): 0.15
Crystal system: monoclinic

```
7
Lattice="6.4476 -1.7460 0.0000 6.4476 1.7460 0.0000 -2.7127 0.0000 5.3467" Properties=species:S:1:pos:R:3 pbc="T T T"
Ti 2.5447 0.0000 1.2567
Ti 7.6378 0.0000 4.0900
Co 5.0913 0.0000 2.6733
Se 0.2784 0.0000 2.4224
Se 4.8805 0.0000 0.2821
Se 5.3020 0.0000 5.0646
Se 9.9042 0.0000 2.9242
```

=====

This record from Alexandria describes a relaxed ZrTi2CoSe crystal. The functional is GGA-PBEsol.

Values from the calculation:
Space group: P4/mmm, No. 123
Formation energy (no corrections) (eV per atom): -0.01
Magnetization (Bohr magnetons per cell): 0.00
Crystal system: tetragonal

```
5
Lattice="4.3875 0.0000 0.0000 0.0000 4.3875 0.0000 0.0000 0.0000 4.8691" Properties=species:S:1:pos:R:3 pbc="T T T"
Zr 0.0000 0.0000 0.0000
Ti 0.0000 2.1937 2.4345
Ti 2.1937 0.0000 2.4345
Co 0.0000 0.0000 2.4345
Se 2.1937 2.1937 0.0000
```

=====

This record from Alexandria describes a relaxed TlCo2Se crystal. The functional is GGA-PBEsol.

Values from the calculation:
Space group: I-4m2, No. 119
Formation energy (no corrections) (eV per atom): 0.55
Magnetization (Bohr magnetons per cell): 2.41
Crystal system: tetragonal
Excess energy over the best structure of this formula in the dataset (meV per atom): 361

```
4
Lattice="-1.8143 1.8143 4.6926 1.8143 -1.8143 4.6926 1.8143 1.8143 -4.6926" Properties=species:S:1:pos:R:3 pbc="T T T"
Tl 0.0000 0.0000 0.0000
Co 1.8143 0.0000 2.3463
Co 0.0000 0.0000 4.6926
Se 0.0000 1.8143 2.3463
```

=====

This record from Alexandria describes a relaxed TlCo2Se crystal. The functional is GGA-PBEsol.

Values from the calculation:
Space group: P4mm, No. 99
Formation energy (no corrections) (eV per atom): 0.19
Magnetization (Bohr magnetons per cell): 1.25
Crystal system: tetragonal
Excess energy over the best structure of this formula in the dataset (meV per atom): 0

```
4
Lattice="3.1454 0.0000 0.0000 0.0000 3.1454 0.0000 0.0000 0.0000 6.4391" Properties=species:S:1:pos:R:3 pbc="T T T"
Tl 0.0000 0.0000 0.0000
Co 0.0000 0.0000 3.5231
Co 1.5727 1.5727 4.9298
Se 1.5727 1.5727 2.6647
```

=====

no.,total energy (eV/cell),volume (A^3/atom)
1,-19.252,20.5
2,-16.620,18.3
3,-24.378,19.8
4,-20.482,21.4
5,-46.551,17.2
6,-37.383,18.7
7,-19.735,15.4
8,-21.180,15.9